(1)
This record from Alexandria describes a geometry-optimized LaRe2Br structure. The functional is GGA-PBEsol.

**Raw formation energy**: 0.62 eV per atom
**DOS(E_F)**: 0.96 states/eV per atom

Structure (CIF):
```
data_LaRe2Br
_symmetry_space_group_name_H-M 'P 1'
_symmetry_Int_Tables_number 1
_symmetry_space_group_name_Hall 'P 1'
_cell_length_a 3.8186
_cell_length_b 3.8186
_cell_length_c 5.6136
_cell_angle_alpha 90.00
_cell_angle_beta 90.00
_cell_angle_gamma 90.00
loop_
_atom_site_label
_atom_site_type_symbol
_atom_site_fract_x
_atom_site_fract_y
_atom_site_fract_z
La1 La 0.0000 0.0000 0.5000
Re1 Re 0.5000 0.0000 0.0000
Re2 Re 0.0000 0.5000 0.0000
Br1 Br 0.5000 0.5000 0.5000
```


(2)
This record from Alexandria describes a geometry-optimized LaRe2Br structure. The functional is GGA-PBEsol.

**Raw formation energy**: 0.48 eV per atom
**DOS(E_F)**: 0.73 states/eV per atom

Structure (CIF):
```
data_LaRe2Br
_symmetry_space_group_name_H-M 'P 1'
_symmetry_Int_Tables_number 1
_symmetry_space_group_name_Hall 'P 1'
_cell_length_a 3.6929
_cell_length_b 5.4830
_cell_length_c 5.5038
_cell_angle_alpha 119.88
_cell_angle_beta 109.60
_cell_angle_gamma 90.00
loop_
_atom_site_label
_atom_site_type_symbol
_atom_site_fract_x
_atom_site_fract_y
_atom_site_fract_z
Br1 Br 0.4591 0.4591 0.9183
Re1 Re 0.7345 0.2345 0.4690
Re2 Re 0.0661 0.0661 0.1321
La1 La 0.2403 0.7403 0.4806
```


How do the records compare in final energy? In the order shown, they have -7.855 -7.986 eV per atom.
How do the records compare in total magnetic moment? In the order shown, they have 0.00 0.00 μB/cell.
How do the records compare in excess energy over the best structure of this formula in the dataset? In the order shown, they have 0.132 0.000 eV/atom.